(1)
10
Lattice="9.776 0.000 0.000 0.000 4.499 0.000 -2.684 0.000 9.889" Properties=species:S:1:pos:R:3 comment="PBE-GGA CsUTe2Cl, relaxed" final_energy_ev_per_atom=-5.21 e_form_raw_ev_per_atom=-1.160 pbc="T T T"
Cs 1.310 1.125 3.150
Cs 5.782 3.374 6.739
U 1.064 1.125 8.246
U 6.029 3.374 1.643
Te 3.173 3.374 0.419
Te 1.830 3.374 6.365
Te 5.262 1.125 3.524
Te 3.920 1.125 9.470
Cl -1.450 1.125 7.532
Cl 8.543 3.374 2.357



(2)
10
Lattice="-4.141 4.141 5.005 4.141 -4.141 5.005 4.141 4.141 -5.005" Properties=species:S:1:pos:R:3 comment="PBE-GGA Cs2VTeCl6, relaxed" final_energy_ev_per_atom=-3.73 e_form_raw_ev_per_atom=-1.227 pbc="T T T"
Cs 4.141 0.000 2.502
Cs 0.000 4.141 2.502
V 0.000 0.000 0.000
Te 0.000 0.000 5.005
Cl 1.674 1.674 0.000
Cl 2.468 -2.468 5.005
Cl 0.000 0.000 2.439
Cl 0.000 0.000 7.571
Cl -2.468 2.468 5.005
Cl 2.468 2.468 5.005



(3)
5
Lattice="6.982 0.000 0.000 0.000 6.982 0.000 0.000 0.000 5.081" Properties=species:S:1:pos:R:3 comment="PBE-GGA Cs2VTeCl, relaxed" final_energy_ev_per_atom=-3.68 e_form_raw_ev_per_atom=-0.513 pbc="T T T"
Cs 0.000 3.491 0.000
Cs 3.491 0.000 0.000
V 0.000 0.000 0.000
Te 0.000 0.000 2.540
Cl 3.491 3.491 2.540



Number 1: magnetization 4.00 μB/cell. Number 2: magnetization 1.00 μB/cell. Number 3: magnetization 4.00 μB/cell.